Entry 1:
A relaxed structure of PIrS. Source: Alexandria, functional PBE.

Mass density, g/cm3: 6.56
Raw formation energy, meV per atom: 13

Unit cell a=10.055 b=3.833 c=3.582 alpha=90.00 beta=110.65 gamma=90.00
Space group Cm (No. 8)
Unique sites:
P (0.000, 0.000, 0.000)
Ir (0.137, 0.000, 0.636)
S (0.274, 0.500, 0.768)

Entry 2:
A relaxed structure of P2IrS. Source: Alexandria, functional PBE.

Mass density, g/cm3: 7.12
Raw formation energy, meV per atom: 77

Unit cell a=6.740 b=3.406 c=5.919 alpha=90.00 beta=100.59 gamma=90.00
Space group Cm (No. 8)
Unique sites:
P (0.000, 0.000, 0.000)
P (0.143, 0.500, 0.248)
Ir (0.382, 0.000, 0.468)
S (0.086, 0.000, 0.667)

Entry 3:
A relaxed structure of P2IrS. Source: Alexandria, functional PBE.

Mass density, g/cm3: 7.30
Raw formation energy, meV per atom: -120

Unit cell a=3.665 b=4.377 c=4.547 alpha=63.85 beta=84.66 gamma=86.11
Space group P1 (No. 1)
Unique sites:
P (0.000, 0.000, 0.000)
P (0.356, 0.784, 0.690)
Ir (0.905, 0.541, 0.532)
S (0.421, 0.311, 0.335)

Entry 4:
A relaxed structure of PIrS. Source: Alexandria, functional PBE.

Mass density, g/cm3: 8.41
Raw formation energy, meV per atom: 31

Unit cell a=11.520 b=2.776 c=3.284 alpha=90.00 beta=106.36 gamma=90.00
Space group Cm (No. 8)
Unique sites:
P (0.000, 0.000, 0.000)
Ir (0.389, 0.000, 0.392)
S (0.234, 0.000, 0.739)

Entry 5:
A relaxed structure of PIrS. Source: Alexandria, functional PBE.

Mass density, g/cm3: 7.43
Raw formation energy, meV per atom: -139

Unit cell a=3.575 b=3.852 c=4.511 alpha=101.24 beta=96.97 gamma=107.39
Space group P1 (No. 1)
Unique sites:
P (0.000, 0.000, 0.000)
Ir (0.650, 0.403, 0.087)
S (0.630, 0.581, 0.604)

Entry 6:
A relaxed structure of P2IrS. Source: Alexandria, functional PBE.

Mass density, g/cm3: 7.29
Raw formation energy, meV per atom: -86

Unit cell a=7.713 b=4.521 c=3.745 alpha=90.00 beta=93.29 gamma=90.00
Space group Cm (No. 8)
Unique sites:
P (0.000, 0.000, 0.000)
P (0.101, 0.500, 0.925)
Ir (0.290, 0.500, 0.449)
S (0.272, 0.000, 0.301)

Entry 7:
A relaxed structure of P2IrS. Source: Alexandria, functional PBE.

Mass density, g/cm3: 6.61
Raw formation energy, meV per atom: 13

Unit cell a=12.341 b=3.134 c=3.721 alpha=90.00 beta=91.69 gamma=90.00
Space group Cm (No. 8)
Unique sites:
P (0.000, 0.000, 0.000)
P (0.108, 0.500, 0.214)
Ir (0.222, 0.500, 0.728)
S (0.339, 0.500, 0.225)

Entry 8:
A relaxed structure of P2IrS. Source: Alexandria, functional PBE.

Mass density, g/cm3: 5.89
Raw formation energy, meV per atom: -40

Unit cell a=3.453 b=4.029 c=6.001 alpha=104.81 beta=90.58 gamma=90.00
Space group P1 (No. 1)
Unique sites:
P (0.000, 0.000, 0.000)
P (0.004, 0.516, 0.243)
Ir (0.500, 0.598, 0.971)
S (0.995, 0.263, 0.721)

Entry 9:
A relaxed structure of P2IrS. Source: Alexandria, functional PBE.

Mass density, g/cm3: 7.34
Raw formation energy, meV per atom: -102

Unit cell a=7.016 b=2.982 c=6.970 alpha=90.00 beta=117.38 gamma=90.00
Space group Cm (No. 8)
Unique sites:
P (0.000, 0.000, 0.000)
P (0.229, 0.000, 0.585)
Ir (0.115, 0.500, 0.788)
S (0.119, 0.500, 0.279)

Entry 10:
A relaxed structure of PIrS3. Source: Alexandria, functional PBE.

Energy above the most stable polymorph in this dataset, eV/atom: 0.237
Mass density, g/cm3: 6.44
Raw formation energy, meV per atom: 1132

Unit cell a=4.350 b=4.350 c=4.350 alpha=90.00 beta=90.00 gamma=90.00
Space group Pm-3m (No. 221)
Unique sites:
P (0.000, 0.000, 0.000)
Ir (0.500, 0.500, 0.500)
S (0.000, 0.000, 0.500)

Entry 11:
A relaxed structure of P2IrS. Source: Alexandria, functional PBE.

Mass density, g/cm3: 5.97
Raw formation energy, meV per atom: 92

Unit cell a=5.485 b=5.485 c=10.584 alpha=90.00 beta=90.00 gamma=90.00
Space group I-42d (No. 122)
Unique sites:
P (0.217, 0.250, 0.125)
Ir (0.000, 0.000, 0.000)
S (0.000, 0.000, 0.500)

Entry 12:
A relaxed structure of PIrS. Source: Alexandria, functional PBE.

Mass density, g/cm3: 8.89
Raw formation energy, meV per atom: -699

Unit cell a=5.864 b=5.701 c=5.829 alpha=90.00 beta=101.84 gamma=90.00
Space group P2_1/c (No. 14)
Unique sites:
P (0.145, 0.116, 0.354)
Ir (0.243, 0.007, 0.749)
S (0.344, 0.615, 0.660)

The highest mass density belongs to which entry?
number 12